The following is a DFT calculation (PBE) of a geometry-optimized KCoMo2 structure.

Cell: 6.3299 6.3299 6.3299 Å, 90.00 90.00 90.00°
Space group Fm-3m (No. 225)
Asymmetric unit:
K  0.0000  0.0000  0.0000 [4 per cell]
Co  0.0000  0.0000  0.5000 [4 per cell]
Mo  0.2500  0.2500  0.2500 [8 per cell]

Calculated values
ΔH_f (0 K) in eV per atom: 1.690
Total moment in Bohr magnetons per cell: 0.00
Crystal system: cubic
Volume in Å³ per cell: 254
Distance to the lowest polymorph of the same formula in eV/atom: 0.924
VASP energy in eV/atom: -5.777